VASP calculation (PBE-GGA) on a relaxed structure of AcPm6Mg.

```
data_AcPm6Mg
_chemical_formula_sum 'Ac1 Pm6 Mg1'
_cell_length_a 5.157
_cell_length_b 5.157
_cell_length_c 10.269
_cell_angle_alpha 90.00
_cell_angle_beta 90.00
_cell_angle_gamma 90.00
_space_group_name_H-M_alt 'P 4/m m m'
_space_group_IT_number 123
_space_group_name_Hall '-P 4 2'
loop_
_atom_site_label
_atom_site_fract_x
_atom_site_fract_y
_atom_site_fract_z
Ac1 0.000 0.000 0.000
Pm1 0.000 0.500 0.260
Pm2 0.500 0.500 0.000
Pm3 0.500 0.500 0.500
Mg1 0.000 0.000 0.500
```

Properties
- total magnetization (μB per cell) = 0.00
- E (eV for the cell shown) = -33.94
- energy of formation from the pure elements (meV/atom) = 33